Here is a geometry-optimized La4MgAlZn2 structure from the Alexandria database. Energies are from GGA-PBE. Values from VASP.

Structure (Quantum ESPRESSO input):
```
&SYSTEM
  ibrav = 0, nat = 8, ntyp = 4
/
ATOMIC_SPECIES
La 138.91 La.upf
Mg 24.30 Mg.upf
Al 26.98 Al.upf
Zn 65.41 Zn.upf
ATOMIC_POSITIONS angstrom
La 0.000 0.000 3.217
La 0.000 0.000 9.860
La 0.000 0.000 16.683
La 0.000 0.000 23.326
Mg 0.000 0.000 13.271
Al 0.000 0.000 0.000
Zn 0.000 0.000 6.498
Zn 0.000 0.000 20.045
CELL_PARAMETERS angstrom
2.698 1.558 8.848
-2.698 1.558 8.848
0.000 -3.116 8.848
```

Summary:
calculated total energy	-3.7095	eV/atom
density of states at the Fermi level	9.2	states/eV/cell
M_tot	0.0	μB/cell

---

Here is a geometry-optimized Ta2ReMo structure from the Alexandria database. Energies are from GGA-PBE. Values from VASP.

Structure (Quantum ESPRESSO input):
```
&SYSTEM
  ibrav = 0, nat = 4, ntyp = 3
/
ATOMIC_SPECIES
Ta 180.95 Ta.upf
Re 186.21 Re.upf
Mo 95.94 Mo.upf
ATOMIC_POSITIONS angstrom
Ta 0.000 0.000 0.000
Ta 1.604 1.604 1.715
Re 1.604 1.604 4.887
Mo 0.000 0.000 3.343
CELL_PARAMETERS angstrom
3.208 0.000 0.000
0.000 3.208 0.000
0.000 0.000 6.496
```

Summary:
density of states at the Fermi level	2.5	states/eV/cell
M_tot	0.0	μB/cell
ΔE to the lowest computed polymorph	158	meV per atom

---

Here is a geometry-optimized Na2Tl3Cd2Hg4 structure from the Alexandria database. Energies are from GGA-PBE. Values from VASP.

Structure (Quantum ESPRESSO input):
```
&SYSTEM
  ibrav = 0, nat = 11, ntyp = 4
/
ATOMIC_SPECIES
Na 22.99 Na.upf
Tl 204.38 Tl.upf
Cd 112.41 Cd.upf
Hg 200.59 Hg.upf
ATOMIC_POSITIONS angstrom
Na 0.000 3.028 2.061
Na 2.622 1.514 10.622
Tl 0.000 0.000 0.000
Tl 0.000 0.000 3.460
Tl 0.000 0.000 9.223
Cd 0.000 3.028 8.316
Cd 2.622 1.514 4.367
Hg 0.000 3.028 5.361
Hg 0.000 3.028 11.412
Hg 2.622 1.514 1.271
Hg 2.622 1.514 7.322
CELL_PARAMETERS angstrom
5.244 0.000 0.000
-2.622 4.541 0.000
0.000 0.000 12.683
```

Summary:
calculated total energy	-1.2360	eV/atom
density of states at the Fermi level	6.9	states/eV/cell
M_tot	0.0	μB/cell

---

Here is a geometry-optimized K2CaSc structure from the Alexandria database. Energies are from GGA-PBE. Values from VASP.

Structure (Quantum ESPRESSO input):
```
&SYSTEM
  ibrav = 0, nat = 4, ntyp = 3
/
ATOMIC_SPECIES
K 39.10 K.upf
Ca 40.08 Ca.upf
Sc 44.96 Sc.upf
ATOMIC_POSITIONS angstrom
K 0.000 0.000 1.776
K 0.000 0.000 5.571
Ca 1.793 3.376 3.673
Sc 1.793 3.376 0.000
CELL_PARAMETERS angstrom
3.587 0.000 0.000
0.000 6.751 0.000
0.000 0.000 7.346
```

Summary:
density of states at the Fermi level	5.0	states/eV/cell
M_tot	0.7	μB/cell
ΔE to the lowest computed polymorph	193	meV per atom

---

Here is a geometry-optimized ScCd3 structure from the Alexandria database. Energies are from GGA-PBE. Values from VASP.

Structure (Quantum ESPRESSO input):
```
&SYSTEM
  ibrav = 0, nat = 4, ntyp = 2
/
ATOMIC_SPECIES
Sc 44.96 Sc.upf
Cd 112.41 Cd.upf
ATOMIC_POSITIONS angstrom
Sc 0.000 0.000 0.000
Cd 0.262 2.387 4.509
Cd 0.951 0.000 2.989
Cd 1.639 2.387 1.468
CELL_PARAMETERS angstrom
3.117 0.000 0.000
0.000 4.774 0.000
-1.216 0.000 5.977
```

Summary:
calculated total energy	-2.4106	eV/atom
density of states at the Fermi level	2.8	states/eV/cell
M_tot	0.1	μB/cell

---

Here is a geometry-optimized SrTmP2S8 structure from the Alexandria database. Energies are from GGA-PBE. Values from VASP.

Structure (Quantum ESPRESSO input):
```
&SYSTEM
  ibrav = 0, nat = 12, ntyp = 4
/
ATOMIC_SPECIES
Sr 87.62 Sr.upf
Tm 168.93 Tm.upf
P 30.97 P.upf
S 32.06 S.upf
ATOMIC_POSITIONS angstrom
Sr 0.000 0.000 0.000
Tm 0.000 0.000 4.534
P 0.000 3.468 6.861
P 3.003 1.734 2.208
S -1.022 1.773 6.302
S 4.026 3.429 2.767
S 0.000 3.468 8.900
S -0.957 5.201 6.302
S 1.024 1.772 2.767
S 3.960 0.001 2.767
S 1.979 3.430 6.302
S 3.003 1.734 0.168
CELL_PARAMETERS angstrom
6.006 0.000 0.000
-3.003 5.202 0.000
0.000 0.000 9.069
```

Summary:
raw formation energy	-0.803	eV per atom
density of states at the Fermi level	12.8	states/eV/cell
M_tot	0.3	μB/cell

---

Here is a geometry-optimized Pm3SbRu structure from the Alexandria database. Energies are from GGA-PBE. Values from VASP.

Structure (Quantum ESPRESSO input):
```
&SYSTEM
  ibrav = 0, nat = 20, ntyp = 3
/
ATOMIC_SPECIES
Pm 145.00 Pm.upf
Sb 121.76 Sb.upf
Ru 101.07 Ru.upf
ATOMIC_POSITIONS angstrom
Pm 0.823 1.726 1.114
Pm 0.822 1.720 5.571
Pm 3.316 3.502 3.348
Pm 3.316 6.838 7.806
Pm 3.320 3.498 7.795
Pm 3.320 6.842 3.338
Pm 6.147 0.052 5.577
Pm 6.148 3.395 1.120
Pm 6.152 0.055 1.109
Pm 6.151 3.391 5.566
Pm 8.645 5.173 3.344
Pm 8.645 5.167 7.801
Sb 1.361 5.167 1.115
Sb 1.361 5.174 5.572
Sb 8.107 1.720 3.342
Sb 8.107 1.727 7.800
Ru 3.734 1.726 1.114
Ru 3.734 1.720 5.572
Ru 5.734 5.173 3.343
Ru 5.734 5.167 7.800
CELL_PARAMETERS angstrom
9.468 0.000 0.000
0.000 6.894 0.000
0.000 0.000 8.914
```

Summary:
raw formation energy	-0.538	eV per atom
density of states at the Fermi level	16.1	states/eV/cell
M_tot	0.0	μB/cell
ΔE to the lowest computed polymorph	0	meV per atom

---

Here is a geometry-optimized TiNiAgCl2 structure from the Alexandria database. Energies are from GGA-PBE. Values from VASP.

Structure (Quantum ESPRESSO input):
```
&SYSTEM
  ibrav = 0, nat = 5, ntyp = 4
/
ATOMIC_SPECIES
Ti 47.87 Ti.upf
Ni 58.69 Ni.upf
Ag 107.87 Ag.upf
Cl 35.45 Cl.upf
ATOMIC_POSITIONS angstrom
Ti 0.000 0.000 0.000
Ni 2.255 2.255 2.532
Ag 2.255 2.255 0.000
Cl 0.000 2.255 2.532
Cl 2.255 0.000 2.532
CELL_PARAMETERS angstrom
4.510 0.000 0.000
0.000 4.510 0.000
0.000 0.000 5.063
```

Summary:
raw formation energy	0.296	eV per atom
density of states at the Fermi level	5.1	states/eV/cell
M_tot	2.3	μB/cell

---

Here is a geometry-optimized Rb2InTe4 structure from the Alexandria database. Energies are from GGA-PBE. Values from VASP.

Structure (Quantum ESPRESSO input):
```
&SYSTEM
  ibrav = 0, nat = 7, ntyp = 3
/
ATOMIC_SPECIES
Rb 85.47 Rb.upf
In 114.82 In.upf
Te 127.60 Te.upf
ATOMIC_POSITIONS angstrom
Rb 0.000 0.000 2.545
Rb 0.000 0.000 15.666
In 0.000 0.000 9.106
Te 2.954 0.000 0.000
Te 0.000 0.000 6.302
Te 0.000 2.954 0.000
Te 0.000 0.000 11.909
CELL_PARAMETERS angstrom
-2.954 2.954 9.106
2.954 -2.954 9.106
2.954 2.954 -9.106
```

Summary:
raw formation energy	-0.296	eV per atom
density of states at the Fermi level	13.0	states/eV/cell
M_tot	0.0	μB/cell

---

Here is a geometry-optimized Pm2Bi2Pd7Au structure from the Alexandria database. Energies are from GGA-PBE. Values from VASP.

Structure (Quantum ESPRESSO input):
```
&SYSTEM
  ibrav = 0, nat = 12, ntyp = 4
/
ATOMIC_SPECIES
Pm 145.00 Pm.upf
Bi 208.98 Bi.upf
Pd 106.42 Pd.upf
Au 196.97 Au.upf
ATOMIC_POSITIONS angstrom
Pm 0.006 0.000 4.194
Pm 3.474 0.000 12.499
Bi 0.662 0.000 10.234
Bi 2.818 0.000 6.459
Pd 0.000 0.000 0.000
Pd 1.387 1.377 2.111
Pd 0.127 0.000 7.478
Pd 2.093 1.377 14.583
Pd 1.387 -1.377 2.111
Pd 3.353 0.000 9.215
Pd 2.093 -1.377 14.583
Au 2.775 0.000 0.000
CELL_PARAMETERS angstrom
2.775 -2.753 0.000
2.775 2.753 0.000
-2.070 0.000 16.693
```

Summary:
calculated total energy	-5.0984	eV/atom
density of states at the Fermi level	5.9	states/eV/cell
M_tot	0.0	μB/cell

---

Here is a geometry-optimized NaSrLa2S4 structure from the Alexandria database. Energies are from GGA-PBE. Values from VASP.

Structure (Quantum ESPRESSO input):
```
&SYSTEM
  ibrav = 0, nat = 16, ntyp = 4
/
ATOMIC_SPECIES
Na 22.99 Na.upf
Sr 87.62 Sr.upf
La 138.91 La.upf
S 32.06 S.upf
ATOMIC_POSITIONS angstrom
Na 0.000 0.000 0.000
Na 0.000 4.208 0.000
Sr -2.091 2.104 2.964
Sr 2.091 2.104 2.964
La 2.091 2.104 -2.964
La 2.091 -2.104 2.964
La 4.183 0.000 0.000
La 0.000 0.000 5.927
S 4.183 -0.046 2.934
S 2.155 2.104 -0.045
S 6.211 2.104 -0.045
S 4.183 4.161 -2.934
S 0.000 0.046 8.862
S -2.028 2.104 5.973
S 2.028 2.104 5.973
S 0.000 4.254 2.993
CELL_PARAMETERS angstrom
-4.183 4.208 5.927
4.183 -4.208 5.927
4.183 4.208 -5.927
```

Summary:
raw formation energy	-1.980	eV per atom
density of states at the Fermi level	6.0	states/eV/cell
M_tot	0.0	μB/cell

---

Here is a geometry-optimized SrTe2Au structure from the Alexandria database. Energies are from GGA-PBE. Values from VASP.

Structure (Quantum ESPRESSO input):
```
&SYSTEM
  ibrav = 0, nat = 4, ntyp = 3
/
ATOMIC_SPECIES
Sr 87.62 Sr.upf
Te 127.60 Te.upf
Au 196.97 Au.upf
ATOMIC_POSITIONS angstrom
Sr 0.000 0.000 0.000
Te -0.008 2.210 5.587
Te 2.906 0.000 3.053
Au 2.413 2.210 1.603
CELL_PARAMETERS angstrom
4.604 0.000 0.000
0.000 4.420 0.000
-2.254 0.000 6.663
```

Summary:
raw formation energy	-0.767	eV per atom
density of states at the Fermi level	2.6	states/eV/cell
M_tot	0.0	μB/cell